Entry 1:
# LiZrIn (PBE, relaxed)
# ΔE to the lowest computed polymorph	0.059	eV/atom
# DOS at the Fermi energy	4.07	states/eV/cell
# symmetry	Cmmm (65)
# ΔH_f (0 K)	-164	meV per atom
data_LiZrIn
_cell_length_a 6.8386
_cell_length_b 6.8386
_cell_length_c 4.3790
_cell_angle_alpha 90.00
_cell_angle_beta 90.00
_cell_angle_gamma 143.16
_space_group_name_H-M_alt 'P 1'
_space_group_IT_number 1
loop_
_space_group_symop_operation_xyz
'x,y,z'
loop_
_atom_site_label
_atom_site_type_symbol
_atom_site_fract_x
_atom_site_fract_y
_atom_site_fract_z
Li1 Li 0.1785 0.8215 0.0000
Li2 Li 0.8215 0.1785 0.0000
Zr1 Zr 0.0000 0.0000 0.5000
Zr2 Zr 0.5000 0.5000 0.0000
In1 In 0.3311 0.6689 0.5000
In2 In 0.6689 0.3311 0.5000

***

Entry 2:
# TaNbH2 (PBE, relaxed)
# ΔE to the lowest computed polymorph	0.107	eV/atom
# DOS at the Fermi energy	4.08	states/eV/cell
# symmetry	P6_3/mmc (194)
data_TaNbH2
_cell_length_a 2.9679
_cell_length_b 2.9679
_cell_length_c 10.5895
_cell_angle_alpha 90.00
_cell_angle_beta 90.00
_cell_angle_gamma 120.00
_space_group_name_H-M_alt 'P 1'
_space_group_IT_number 1
loop_
_space_group_symop_operation_xyz
'x,y,z'
loop_
_atom_site_label
_atom_site_type_symbol
_atom_site_fract_x
_atom_site_fract_y
_atom_site_fract_z
Ta1 Ta 0.3333 0.6667 0.2500
Ta2 Ta 0.6667 0.3333 0.7500
Nb1 Nb 0.0000 0.0000 0.0000
Nb2 Nb 0.0000 0.0000 0.5000
H1 H 0.3333 0.6667 0.6251
H2 H 0.3333 0.6667 0.8749
H3 H 0.6667 0.3333 0.1251
H4 H 0.6667 0.3333 0.3749

***

Entry 3:
# TeP2SCl (PBE, relaxed)
# ΔE to the lowest computed polymorph	0.000	eV/atom
# DOS at the Fermi energy	2.04	states/eV/cell
# uncorrected formation energy	719	meV/atom
# symmetry	P4/mmm (123)
data_TeP2SCl
_cell_length_a 4.7909
_cell_length_b 4.7909
_cell_length_c 4.4938
_cell_angle_alpha 90.00
_cell_angle_beta 90.00
_cell_angle_gamma 90.00
_space_group_name_H-M_alt 'P 1'
_space_group_IT_number 1
loop_
_space_group_symop_operation_xyz
'x,y,z'
loop_
_atom_site_label
_atom_site_type_symbol
_atom_site_fract_x
_atom_site_fract_y
_atom_site_fract_z
Te1 Te 0.0000 0.0000 0.0000
P1 P 0.0000 0.5000 0.5000
P2 P 0.5000 0.0000 0.5000
S1 S 0.5000 0.5000 0.5000
Cl1 Cl 0.5000 0.5000 0.0000

***

Entry 4:
# BaBAsPb2 (PBE, relaxed)
# DOS at the Fermi energy	2.46	states/eV/cell
# symmetry	P4/mmm (123)
# ΔH_f (0 K)	455	meV per atom
data_BaBAsPb2
_cell_length_a 6.0527
_cell_length_b 6.0527
_cell_length_c 4.2142
_cell_angle_alpha 90.00
_cell_angle_beta 90.00
_cell_angle_gamma 90.00
_space_group_name_H-M_alt 'P 1'
_space_group_IT_number 1
loop_
_space_group_symop_operation_xyz
'x,y,z'
loop_
_atom_site_label
_atom_site_type_symbol
_atom_site_fract_x
_atom_site_fract_y
_atom_site_fract_z
Ba1 Ba 0.0000 0.0000 0.0000
B1 B 0.5000 0.5000 0.0000
As1 As 0.5000 0.5000 0.5000
Pb1 Pb 0.0000 0.5000 0.5000
Pb2 Pb 0.5000 0.0000 0.5000

***

Across the entries above, volume takes the values 122.8, 80.8, 103.1, 154.4 Å³/cell, respectively.
Across the entries above, electronic total energy takes the values -4.56, -7.25, -3.27, -3.68 eV/atom, respectively.